[1]
First-principles (PBE) data for a relaxed SrHgW3 crystal, as listed in the Alexandria database.

The final energy is -22.97 eV per cell. The calculation puts the energy above the lowest structure with this stoichiometry at 888 meV/atom. Its formation energy is 345.0 kJ/mol of atoms. The magnetization comes out at 0.0000 μB per atom.

Cell: 4.840 4.840 4.840 Å, 90.00 90.00 90.00°
Fractional positions:
W (0.500, 0.000, 0.000)
W (0.000, 0.500, 0.000)
W (0.000, 0.000, 0.500)
Hg (0.500, 0.500, 0.500)
Sr (0.000, 0.000, 0.000)

=====

[2]
First-principles (PBE) data for a relaxed KLaIn crystal, as listed in the Alexandria database.

The final energy is -8.62 eV per cell. The calculation puts the energy above the lowest structure with this stoichiometry at 86 meV/atom. Its formation energy is 4.6 kJ/mol of atoms. The magnetization comes out at 0.0881 μB per atom.

Cell: 5.839 5.839 3.270 Å, 90.00 90.00 120.00°
Fractional positions:
La (0.333, 0.667, 0.502)
In (0.000, 0.000, 0.001)
K (0.667, 0.333, 0.497)

=====

[3]
First-principles (PBE) data for a relaxed RbEr2AgS4 crystal, as listed in the Alexandria database.

The final energy is -83.92 eV per cell. The magnetization comes out at 0.0000 μB per atom. For the formation energy (no corrections), the calculation gives -1.56 eV/atom.

Cell: 4.045 7.135 14.181 Å, 90.00 90.00 106.47°
Fractional positions:
Er (0.368, 0.737, 0.565)
Er (0.632, 0.263, 0.065)
Er (0.632, 0.263, 0.435)
Er (0.368, 0.737, 0.935)
Ag (0.167, 0.333, 0.250)
Ag (0.833, 0.667, 0.750)
S (0.740, 0.480, 0.598)
S (0.000, 0.000, 0.000)
S (0.740, 0.480, 0.902)
S (0.561, 0.123, 0.250)
S (0.439, 0.877, 0.750)
S (0.000, 0.000, 0.500)
S (0.260, 0.520, 0.098)
S (0.260, 0.520, 0.402)
Rb (0.116, 0.231, 0.750)
Rb (0.884, 0.769, 0.250)

=====

[4]
First-principles (PBE) data for a relaxed K2OsW crystal, as listed in the Alexandria database.

The final energy is -23.12 eV per cell. The calculation puts the energy above the lowest structure with this stoichiometry at 0 meV/atom. Its formation energy is 78.6 kJ/mol of atoms. The magnetization comes out at 0.0001 μB per atom.

Cell: 3.816 3.058 10.964 Å, 73.46 90.00 90.00°
Fractional positions:
W (0.500, 0.838, 0.660)
K (0.000, 0.076, 0.919)
K (0.500, 0.172, 0.336)
Os (0.000, 0.414, 0.586)

=====

[5]
First-principles (PBE) data for a relaxed LaTm2Ir crystal, as listed in the Alexandria database.

The final energy is -24.66 eV per cell. The calculation puts the energy above the lowest structure with this stoichiometry at 95 meV/atom. Its formation energy is -46.4 kJ/mol of atoms. The magnetization comes out at 0.0000 μB per atom.

Cell: 3.460 3.460 8.926 Å, 90.00 90.00 90.00°
Fractional positions:
Tm (0.000, 0.000, 0.821)
Tm (0.000, 0.000, 0.179)
Ir (0.500, 0.500, 0.000)
La (0.500, 0.500, 0.500)

=====

[6]
First-principles (PBE) data for a relaxed CsMg3Cd crystal, as listed in the Alexandria database.

The final energy is -1.49 eV per cell. The calculation puts the energy above the lowest structure with this stoichiometry at 774 meV/atom. Its formation energy is 97.8 kJ/mol of atoms. The magnetization comes out at 0.0000 μB per atom.

Cell: 7.663 7.663 7.663 Å, 90.00 90.00 90.00°
Fractional positions:
Mg (0.500, 0.000, 0.000)
Mg (0.000, 0.500, 0.000)
Mg (0.000, 0.000, 0.500)
Cs (0.000, 0.000, 0.000)
Cd (0.500, 0.500, 0.500)

=====

[7]
First-principles (PBE) data for a relaxed K2LiSnSe4 crystal, as listed in the Alexandria database.

The final energy is -28.44 eV per cell. The magnetization comes out at 0.0916 μB per atom. For the formation energy (no corrections), the calculation gives -0.80 eV/atom.

Cell: 7.166 6.712 6.712 Å, 73.44 57.74 57.74°
Fractional positions:
K (0.000, 0.500, 0.500)
K (0.500, 0.500, 0.500)
Se (0.094, 0.340, 0.000)
Se (0.434, 0.660, 0.000)
Se (0.906, 0.000, 0.660)
Se (0.566, 0.000, 0.340)
Sn (0.500, 0.000, 0.000)
Li (0.000, 0.000, 0.000)

=====

[8]
First-principles (PBE) data for a relaxed LiSbPt crystal, as listed in the Alexandria database.

The final energy is -12.75 eV per cell. The magnetization comes out at 0.0000 μB per atom. For the formation energy (no corrections), the calculation gives -0.22 eV/atom.

Cell: 3.236 3.236 6.436 Å, 90.00 90.00 120.00°
Fractional positions:
Pt (0.667, 0.333, 0.335)
Li (0.000, 0.000, 0.024)
Sb (0.333, 0.667, 0.641)

=====

The lowest final energy belongs to which entry?
RbEr2AgS4

=====

final energy of number 5 (LaTm2Ir)?
-24.66 eV per cell

=====

The lowest final energy belongs to which entry?
RbEr2AgS4

=====

What is the magnetization in the first record?
0.0000 μB per atom